Record 1
A relaxed Ir2Cl2F crystal. Source: Alexandria via LeMat-Bulk, functional PBE.

Cell lengths 7.759, 7.759, 3.014 Å; angles 90.00, 90.00, 90.00 degrees
Site moments in Bohr magnetons follow the coordinates.
Fractional coordinates of all 10 atoms:
F 0.000 0.000 0.000  0.27
Ir 0.609 0.109 0.000  0.35
Cl 0.735 0.765 0.500  0.01
Cl 0.265 0.235 0.500  0.01
Ir 0.891 0.609 0.000  0.30
Cl 0.235 0.735 0.500  0.01
F 0.500 0.500 0.000  0.27
Ir 0.109 0.391 0.000  0.30
Ir 0.391 0.891 0.000  0.35
Cl 0.765 0.265 0.500  0.01

Values from the calculation:
The energy relative to the lowest polymorph listed for this composition is 438 meV per atom. The calculation puts the volume at 181.47 Å³/cell. The value obtained for the uncorrected energy is -20.31 eV per formula unit. As for the formation energy without anion corrections: 2.98 eV/f.u.

***

Record 2
A relaxed IrClF2 crystal. Source: Alexandria via LeMat-Bulk, functional PBE.

Cell lengths 4.229, 4.229, 4.229 Å; angles 60.00, 60.00, 60.00 degrees
Site moments in Bohr magnetons follow the coordinates.
Fractional coordinates of all 4 atoms:
Cl 0.000 0.000 0.000  0.51
Ir 0.500 0.500 0.500  2.73
F 0.250 0.250 0.250  0.30
F 0.750 0.750 0.750  0.30

Values from the calculation:
The energy relative to the lowest polymorph listed for this composition is 938 meV per atom. The calculation puts the volume at 53.49 Å³/cell. The value obtained for the uncorrected energy is -12.92 eV per formula unit. As for the formation energy without anion corrections: 1.53 eV/f.u.

***

Record 3
A relaxed IrCl3F crystal. Source: Alexandria via LeMat-Bulk, functional PBE.

Cell lengths 4.705, 4.705, 4.705 Å; angles 90.00, 90.00, 90.00 degrees
Fractional coordinates of all 5 atoms:
Cl 0.000 0.000 0.500
Cl 0.500 0.000 0.000
Cl 0.000 0.500 0.000
Ir 0.000 0.000 0.000
F 0.500 0.500 0.500

Values from the calculation:
The energy relative to the lowest polymorph listed for this composition is 683 meV per atom. The calculation puts the volume at 104.18 Å³/cell. The value obtained for the uncorrected energy is -15.88 eV per formula unit. As for the formation energy without anion corrections: 0.40 eV/f.u.

***

Record 4
A relaxed IrCl4F6 crystal. Source: Alexandria via LeMat-Bulk, functional PBE.

Cell lengths 11.427, 5.542, 7.728 Å; angles 89.61, 90.00, 90.00 degrees
Site moments in Bohr magnetons follow the coordinates.
Fractional coordinates of all 22 atoms:
F 0.132 0.610 0.626  0.14
F 0.433 0.622 0.793  0.15
F 0.933 0.378 0.707  0.15
Cl 0.140 0.247 0.033  0.12
F 0.577 0.796 0.037  0.17
F 0.067 0.622 0.293  0.15
Cl 0.350 0.969 0.376  0.10
Cl 0.640 0.753 0.467  0.12
Cl 0.860 0.753 0.967  0.12
Ir 0.500 0.500 0.000  1.48
F 0.632 0.390 0.874  0.14
F 0.077 0.204 0.463  0.17
Cl 0.650 0.031 0.624  0.10
F 0.567 0.378 0.207  0.15
F 0.923 0.796 0.537  0.17
Cl 0.360 0.247 0.533  0.12
F 0.423 0.204 0.963  0.17
Cl 0.150 0.969 0.876  0.10
F 0.868 0.390 0.374  0.14
Ir 0.000 0.500 0.500  1.48
Cl 0.850 0.031 0.124  0.10
F 0.368 0.610 0.126  0.14

Values from the calculation:
The calculation puts the volume at 489.37 Å³/cell. The value obtained for the uncorrected energy is -37.78 eV per formula unit. As for the formation energy without anion corrections: -10.30 eV/f.u.

***

Record 5
A relaxed IrClF2 crystal. Source: Alexandria via LeMat-Bulk, functional PBE.

Cell lengths 10.515, 10.515, 10.515 Å; angles 14.82, 14.82, 14.82 degrees
Fractional coordinates of all 4 atoms:
F 0.061 0.061 0.061
Ir 0.000 0.000 0.000
Cl 0.500 0.500 0.500
F 0.939 0.939 0.939

Values from the calculation:
The energy relative to the lowest polymorph listed for this composition is 0 meV per atom. The calculation puts the volume at 66.21 Å³/cell. The value obtained for the uncorrected energy is -16.68 eV per formula unit. As for the formation energy without anion corrections: -2.23 eV/f.u.

***

Record 6
A relaxed K3IrCl2F6 crystal. Source: Alexandria via LeMat-Bulk, functional PBE.

Cell lengths 4.651, 7.633, 8.587 Å; angles 116.35, 80.60, 90.04 degrees
Site moments in Bohr magnetons follow the coordinates.
Fractional coordinates of all 12 atoms:
Ir 0.500 0.000 0.000  1.22
K 0.000 0.500 0.000  0.00
F 0.822 0.906 0.811  0.16
K 0.500 0.500 0.500  0.00
Cl 0.043 0.692 0.384  0.06
Cl 0.957 0.308 0.616  0.06
F 0.670 0.874 0.121  0.07
F 0.670 0.246 0.122  0.07
F 0.330 0.754 0.878  0.07
K 0.500 0.000 0.500  0.00
F 0.330 0.126 0.879  0.07
F 0.178 0.094 0.189  0.16

Values from the calculation:
The calculation puts the volume at 268.59 Å³/cell. The value obtained for the uncorrected energy is -49.94 eV per formula unit. As for the formation energy without anion corrections: -22.86 eV/f.u.

***

Record 7
A relaxed K2IrCl2F4 crystal. Source: Alexandria via LeMat-Bulk, functional PBE.

Cell lengths 5.150, 6.632, 6.632 Å; angles 54.26, 92.64, 92.64 degrees
Site moments in Bohr magnetons follow the coordinates.
Fractional coordinates of all 9 atoms:
K 0.169 0.639 0.639  0.00
F 0.740 0.815 0.287  0.06
F 0.260 0.713 0.185  0.06
Cl 0.673 0.819 0.819  0.01
K 0.831 0.361 0.361  0.00
F 0.740 0.287 0.815  0.06
Cl 0.327 0.181 0.181  0.01
Ir 0.500 0.000 0.000  0.73
F 0.260 0.185 0.713  0.06

Values from the calculation:
The calculation puts the volume at 183.64 Å³/cell. The value obtained for the uncorrected energy is -38.69 eV per formula unit. As for the formation energy without anion corrections: -16.46 eV/f.u.

***

Record 8
A relaxed K2IrCl4F2 crystal. Source: Alexandria via LeMat-Bulk, functional PBE.

Cell lengths 6.717, 6.614, 6.614 Å; angles 64.30, 61.76, 61.76 degrees
Site moments in Bohr magnetons follow the coordinates.
Fractional coordinates of all 9 atoms:
F 0.234 0.205 0.205  0.06
Cl 0.701 0.276 0.803  0.03
F 0.766 0.795 0.795  0.06
Ir 0.500 0.000 0.000  0.68
Cl 0.299 0.197 0.724  0.03
K 0.787 0.259 0.259  0.00
Cl 0.299 0.724 0.197  0.03
K 0.213 0.741 0.741  0.00
Cl 0.701 0.803 0.276  0.03

Values from the calculation:
The calculation puts the volume at 219.57 Å³/cell. The value obtained for the uncorrected energy is -35.70 eV per formula unit. As for the formation energy without anion corrections: -13.51 eV/f.u.

***

Record 9
A relaxed Na3IrCl2F6 crystal. Source: Alexandria via LeMat-Bulk, functional PBE.

Cell lengths 4.640, 6.938, 7.638 Å; angles 117.01, 88.39, 90.00 degrees
Site moments in Bohr magnetons follow the coordinates.
Fractional coordinates of all 12 atoms:
Cl 0.113 0.688 0.377  0.09
Ir 0.500 0.000 0.000  1.19
F 0.264 0.747 0.899  0.10
F 0.316 0.130 0.259  0.08
F 0.684 0.870 0.741  0.08
Cl 0.887 0.312 0.623  0.09
F 0.736 0.848 0.101  0.10
Na 0.500 0.000 0.500  0.00
Na 0.500 0.500 0.500  0.00
F 0.264 0.152 0.899  0.10
Na 0.000 0.500 0.000  0.00
F 0.736 0.253 0.101  0.10

Values from the calculation:
The calculation puts the volume at 218.95 Å³/cell. The value obtained for the uncorrected energy is -49.35 eV per formula unit. As for the formation energy without anion corrections: -21.61 eV/f.u.

***

Record 10
A relaxed IrClOF6 crystal. Source: Alexandria via LeMat-Bulk, functional PBE.

Cell lengths 19.655, 5.653, 12.417 Å; angles 79.34, 90.00, 90.00 degrees
Site moments in Bohr magnetons follow the coordinates.
Fractional coordinates of all 72 atoms:
Ir 0.613 0.339 0.923  1.56
O 0.428 0.038 0.320  -0.66
F 0.060 0.391 0.563  0.17
F 0.107 0.339 0.315  -0.18
Cl 0.209 0.133 0.937  0.06
F 0.802 0.373 0.800  -0.16
F 0.035 0.827 0.609  0.18
Cl 0.211 0.021 0.797  0.06
F 0.567 0.245 0.310  -0.16
Ir 0.113 0.661 0.577  1.56
F 0.307 0.497 0.045  0.17
Cl 0.711 0.979 0.703  0.06
F 0.627 0.377 0.483  -0.15
O 0.072 0.038 0.820  -0.66
F 0.375 0.538 0.228  0.15
Ir 0.887 0.339 0.423  1.56
F 0.373 0.623 0.517  -0.15
F 0.835 0.790 0.859  -0.14
O 0.928 0.962 0.180  -0.66
F 0.933 0.245 0.810  -0.16
F 0.940 0.609 0.437  0.17
F 0.067 0.755 0.190  -0.16
F 0.668 0.070 0.907  0.14
F 0.693 0.503 0.955  0.17
Cl 0.791 0.867 0.063  0.06
F 0.332 0.930 0.093  0.14
F 0.625 0.462 0.772  0.15
F 0.034 0.339 0.132  -0.16
F 0.807 0.503 0.455  0.17
F 0.465 0.827 0.109  0.18
Cl 0.289 0.021 0.297  0.06
Ir 0.616 0.517 0.333  -1.53
F 0.165 0.210 0.141  -0.14
F 0.168 0.930 0.593  0.14
F 0.193 0.497 0.545  0.17
Cl 0.709 0.867 0.563  0.06
F 0.665 0.790 0.359  -0.14
O 0.572 0.962 0.680  -0.66
Ir 0.884 0.517 0.833  -1.53
F 0.560 0.609 0.937  0.17
F 0.302 0.627 0.700  -0.16
F 0.875 0.462 0.272  0.15
F 0.698 0.373 0.300  -0.16
F 0.603 0.211 0.073  0.18
F 0.466 0.339 0.632  -0.16
F 0.893 0.661 0.685  -0.18
F 0.440 0.391 0.063  0.17
F 0.103 0.789 0.427  0.18
F 0.897 0.211 0.573  0.18
Ir 0.384 0.483 0.667  -1.53
O 0.930 0.893 0.094  -0.65
F 0.198 0.627 0.200  -0.16
F 0.433 0.755 0.690  -0.16
F 0.125 0.538 0.728  0.15
F 0.335 0.210 0.641  -0.14
O 0.570 0.893 0.594  -0.65
F 0.966 0.661 0.868  -0.16
O 0.430 0.107 0.406  -0.65
F 0.965 0.173 0.391  0.18
F 0.607 0.661 0.185  -0.18
F 0.127 0.623 0.017  -0.15
Cl 0.291 0.133 0.437  0.06
F 0.873 0.377 0.983  -0.15
Ir 0.116 0.483 0.167  -1.53
F 0.534 0.661 0.368  -0.16
Cl 0.789 0.979 0.203  0.06
F 0.832 0.070 0.407  0.14
O 0.070 0.107 0.906  -0.65
F 0.397 0.789 0.927  0.18
F 0.535 0.173 0.891  0.18
Ir 0.387 0.661 0.077  1.56
F 0.393 0.339 0.815  -0.18

Values from the calculation:
The calculation puts the volume at 1355.91 Å³/cell. The value obtained for the uncorrected energy is -37.17 eV per formula unit. As for the formation energy without anion corrections: -10.28 eV/f.u.

***

Record 11
A relaxed P2IrClF crystal. Source: Alexandria via LeMat-Bulk, functional PBE.

Cell lengths 4.063, 4.063, 4.821 Å; angles 90.00, 90.00, 90.00 degrees
Fractional coordinates of all 5 atoms:
P 0.000 0.500 0.000
Ir 0.500 0.500 0.500
P 0.500 0.000 0.000
F 0.000 0.000 0.000
Cl 0.000 0.000 0.500

Values from the calculation:
The energy relative to the lowest polymorph listed for this composition is 711 meV per atom. The calculation puts the volume at 79.57 Å³/cell. The value obtained for the uncorrected energy is -18.44 eV per formula unit. As for the formation energy without anion corrections: 4.96 eV/f.u.

***

Record 12
A relaxed P2IrClF crystal. Source: Alexandria via LeMat-Bulk, functional PBE.

Cell lengths 4.526, 4.526, 4.960 Å; angles 90.00, 90.00, 90.00 degrees
Fractional coordinates of all 5 atoms:
Ir 0.000 0.000 0.000
P 0.000 0.500 0.000
P 0.500 0.000 0.000
F 0.500 0.500 0.500
Cl 0.000 0.000 0.500

Values from the calculation:
The energy relative to the lowest polymorph listed for this composition is 0 meV per atom. The calculation puts the volume at 101.59 Å³/cell. The value obtained for the uncorrected energy is -21.99 eV per formula unit. As for the formation energy without anion corrections: 1.41 eV/f.u.

***

Record 13
A relaxed PIrCl2F crystal. Source: Alexandria via LeMat-Bulk, functional PBE.

Cell lengths 4.826, 4.826, 4.480 Å; angles 90.00, 90.00, 90.00 degrees
Fractional coordinates of all 5 atoms:
Cl 0.000 0.500 0.000
F 0.500 0.500 0.500
Cl 0.500 0.000 0.000
Ir 0.000 0.000 0.000
P 0.000 0.000 0.500

Values from the calculation:
The energy relative to the lowest polymorph listed for this composition is 0 meV per atom. The calculation puts the volume at 104.34 Å³/cell. The value obtained for the uncorrected energy is -18.99 eV per formula unit. As for the formation energy without anion corrections: 0.84 eV/f.u.

***

Record 14
A relaxed PIrCl2F crystal. Source: Alexandria via LeMat-Bulk, functional PBE.

Cell lengths 5.153, 5.153, 3.531 Å; angles 90.00, 90.00, 90.00 degrees
Site moments in Bohr magnetons follow the coordinates.
Fractional coordinates of all 5 atoms:
Cl 0.500 0.000 0.000  0.09
P 0.000 0.000 0.500  -0.07
Cl 0.000 0.500 0.000  0.09
Ir 0.500 0.500 0.500  1.77
F 0.000 0.000 0.000  -0.01

Values from the calculation:
The energy relative to the lowest polymorph listed for this composition is 727 meV per atom. The calculation puts the volume at 93.76 Å³/cell. The value obtained for the uncorrected energy is -15.36 eV per formula unit. As for the formation energy without anion corrections: 4.48 eV/f.u.

***

Record 15
A relaxed P2IrClF6 crystal. Source: Alexandria via LeMat-Bulk, functional PBE.

Cell lengths 10.439, 10.720, 13.410 Å; angles 78.75, 90.00, 90.00 degrees
Fractional coordinates of all 80 atoms:
F 0.986 0.134 0.247
F 0.215 0.630 0.781
F 0.374 0.833 0.997
F 0.124 0.565 0.637
F 0.484 0.863 0.474
Cl 0.866 0.142 0.847
Ir 0.229 0.329 0.802
F 0.126 0.333 0.497
F 0.014 0.866 0.753
F 0.728 0.163 0.462
F 0.772 0.663 0.962
Cl 0.366 0.358 0.653
Cl 0.628 0.851 0.146
F 0.615 0.343 0.494
F 0.624 0.935 0.863
P 0.141 0.512 0.755
F 0.516 0.137 0.526
Cl 0.128 0.649 0.354
Cl 0.372 0.149 0.854
P 0.404 0.487 0.261
F 0.272 0.837 0.538
F 0.023 0.145 0.470
Ir 0.729 0.171 0.698
P 0.899 0.807 0.444
F 0.715 0.870 0.719
P 0.145 0.298 0.951
F 0.874 0.667 0.503
P 0.101 0.193 0.556
P 0.355 0.798 0.451
F 0.626 0.167 0.003
F 0.626 0.550 0.622
F 0.995 0.456 0.207
Ir 0.011 0.169 0.703
F 0.977 0.855 0.530
Ir 0.511 0.331 0.797
F 0.486 0.366 0.253
P 0.359 0.012 0.255
F 0.733 0.369 0.961
Cl 0.634 0.642 0.347
F 0.374 0.450 0.378
P 0.096 0.987 0.761
F 0.885 0.843 0.994
P 0.641 0.988 0.745
F 0.725 0.556 0.782
Ir 0.771 0.671 0.198
P 0.596 0.513 0.739
F 0.275 0.444 0.218
P 0.399 0.693 0.056
F 0.785 0.370 0.219
F 0.016 0.363 0.974
P 0.859 0.488 0.245
F 0.874 0.050 0.122
F 0.115 0.157 0.006
P 0.855 0.702 0.049
F 0.376 0.065 0.137
Ir 0.271 0.829 0.302
F 0.775 0.056 0.282
F 0.126 0.950 0.878
P 0.904 0.013 0.239
F 0.225 0.944 0.718
F 0.984 0.637 0.026
F 0.267 0.631 0.039
F 0.005 0.544 0.793
F 0.767 0.869 0.461
Cl 0.872 0.351 0.646
P 0.645 0.202 0.549
P 0.601 0.307 0.944
F 0.285 0.130 0.281
Ir 0.489 0.669 0.203
F 0.233 0.131 0.539
F 0.505 0.956 0.707
F 0.876 0.435 0.363
F 0.523 0.355 0.030
Cl 0.134 0.858 0.153
F 0.495 0.044 0.293
F 0.385 0.657 0.506
F 0.514 0.634 0.747
Ir 0.989 0.831 0.297
F 0.228 0.337 0.038
F 0.477 0.645 0.970

Values from the calculation:
The calculation puts the volume at 1471.76 Å³/cell. The value obtained for the uncorrected energy is -53.08 eV per formula unit. As for the formation energy without anion corrections: -20.32 eV/f.u.

***

Record 16
A relaxed Rb2IrCl5F crystal. Source: Alexandria via LeMat-Bulk, functional PBE.

Cell lengths 7.077, 7.077, 7.077 Å; angles 91.54, 119.11, 119.11 degrees
Site moments in Bohr magnetons follow the coordinates.
Fractional coordinates of all 9 atoms:
F 0.000 0.798 0.798  0.07
Cl 0.000 0.226 0.763  0.03
Cl 0.537 0.763 0.763  0.03
Ir 0.000 0.999 0.999  0.67
Cl 0.000 0.233 0.233  0.06
Cl 0.000 0.763 0.226  0.03
Cl 0.463 0.226 0.226  0.03
Rb 0.500 0.246 0.746  0.00
Rb 0.500 0.746 0.246  0.00

Values from the calculation:
The calculation puts the volume at 253.84 Å³/cell. The value obtained for the uncorrected energy is -34.07 eV per formula unit. As for the formation energy without anion corrections: -12.16 eV/f.u.

***

Record 17
A relaxed Rb2IrClF6 crystal. Source: Alexandria via LeMat-Bulk, functional PBE.

Cell lengths 6.806, 6.806, 6.807 Å; angles 60.00, 60.00, 90.00 degrees
Site moments in Bohr magnetons follow the coordinates.
Fractional coordinates of all 10 atoms:
Ir 0.000 0.000 0.000  1.02
F 0.798 0.798 0.403  0.07
F 0.202 0.202 0.000  0.07
F 0.798 0.202 0.000  0.08
F 0.202 0.798 0.000  0.08
Cl 0.500 0.500 0.000  0.34
F 0.202 0.202 0.597  0.07
Rb 0.250 0.750 0.500  0.00
F 0.798 0.798 0.000  0.07
Rb 0.750 0.250 0.500  0.00

Values from the calculation:
The calculation puts the volume at 222.97 Å³/cell. The value obtained for the uncorrected energy is -42.11 eV per formula unit. As for the formation energy without anion corrections: -18.24 eV/f.u.